Y5ErMg6 | GGA-PBE | relaxed

- E_tot (eV for the cell shown) = -47.7

Lattice parameters (Å, degrees): 5.3858 7.5477 8.5128 90.00 71.56 90.00
Last column: nearest neighbours and their distance in Å.
Positions (direct):
Y1 0.6670 0.5000 0.6660  8 Mg 3.29
Y2 0.3341 0.0000 0.3318  8 Mg 3.27-3.30
Y3 0.0000 0.5000 0.0000  8 Mg 3.29
Y4 0.6659 0.0000 0.6682  8 Mg 3.27-3.30
Y5 0.3330 0.5000 0.3340  8 Mg 3.29
Mg1 0.8335 0.7509 0.3330  1 Er 3.28, 7 Y 3.28-3.30
Mg2 0.8335 0.2491 0.3330  1 Er 3.28, 7 Y 3.28-3.30
Mg3 0.5000 0.2495 0.0000  6 Y 3.27-3.29, 2 Er 3.29
Mg4 0.5000 0.7505 0.0000  6 Y 3.27-3.29, 2 Er 3.29
Mg5 0.1665 0.7509 0.6670  1 Er 3.28, 7 Y 3.28-3.30
Mg6 0.1665 0.2491 0.6670  1 Er 3.28, 7 Y 3.28-3.30
Er1 0.0000 0.0000 0.0000  8 Mg 3.28-3.29

***

YErMg | GGA-PBE | relaxed

- distance to the lowest polymorph of the same formula (meV per atom) = 124.6

Lattice parameters (Å, degrees): 3.3839 5.4276 5.4276 120.00 90.00 90.00
Last column: nearest neighbours and their distance in Å.
Positions (direct):
Y1 0.6246 0.6667 0.3333  3 Mg 3.29, 2 Y 3.38, 6 Er 3.45-3.68
Mg1 0.3239 0.3333 0.6667  3 Er 3.27, 3 Y 3.29, 2 Mg 3.38
Er1 0.0516 0.0000 0.0000  3 Mg 3.27, 2 Er 3.38, 3 Y 3.45

***

Y2ErMg | GGA-PBE | relaxed

- distance to the lowest polymorph of the same formula (meV per atom) = 72.7

Lattice parameters (Å, degrees): 5.5033 5.5033 5.5033 60.00 60.00 60.00
Last column: nearest neighbours and their distance in Å.
Positions (direct):
Y1 0.2500 0.2500 0.2500  4 Mg 3.37, 4 Er 3.37
Y2 0.7500 0.7500 0.7500  4 Er 3.37, 4 Mg 3.37
Mg1 0.5000 0.5000 0.5000  8 Y 3.37
Er1 0.0000 0.0000 0.0000  8 Y 3.37

***

YEr4Mg5 | GGA-PBE | relaxed

- E_tot (eV for the cell shown) = -33.4

Lattice parameters (Å, degrees): 3.7765 3.7765 18.8307 90.00 90.00 90.00
Last column: nearest neighbours and their distance in Å.
Positions (direct):
Y1 0.0000 0.0000 0.0000  8 Mg 3.29
Er1 0.0000 0.0000 0.2016  8 Mg 3.26
Er2 0.0000 0.0000 0.4005  8 Mg 3.26
Er3 0.0000 0.0000 0.5995  8 Mg 3.26
Er4 0.0000 0.0000 0.7984  8 Mg 3.26
Mg1 0.5000 0.5000 0.1018  4 Er 3.26, 4 Y 3.29
Mg2 0.5000 0.5000 0.3009  8 Er 3.26
Mg3 0.5000 0.5000 0.5000  8 Er 3.26
Mg4 0.5000 0.5000 0.6991  8 Er 3.26
Mg5 0.5000 0.5000 0.8982  4 Er 3.26, 4 Y 3.29

***

YErMgZn | GGA-PBE | relaxed

- distance to the lowest polymorph of the same formula (meV per atom) = 0.0

Lattice parameters (Å, degrees): 3.5677 3.5677 7.8281 90.00 90.00 90.00
Last column: nearest neighbours and their distance in Å.
Positions (direct):
Y1 0.5000 0.5000 0.5802  4 Zn 3.09, 4 Mg 3.35
Er1 0.5000 0.5000 0.1352  4 Zn 3.04, 4 Mg 3.31
Mg1 0.0000 0.0000 0.8610  4 Er 3.31, 4 Y 3.35, 4 Mg 3.57
Zn1 0.0000 0.0000 0.3516  4 Er 3.04, 4 Y 3.09

***

YErMgZn | GGA-PBE | relaxed

- distance to the lowest polymorph of the same formula (meV per atom) = 31.4

Lattice parameters (Å, degrees): 5.1807 5.1807 5.1807 60.00 60.00 60.00
Last column: nearest neighbours and their distance in Å.
Positions (direct):
Y1 0.2500 0.2500 0.2500  4 Mg 3.17, 4 Zn 3.17
Zn1 0.0000 0.0000 0.0000  4 Er 3.17, 4 Y 3.17
Mg1 0.5000 0.5000 0.5000  4 Y 3.17, 4 Er 3.17
Er1 0.7500 0.7500 0.7500  4 Mg 3.17, 4 Zn 3.17

***

YErMgZr | GGA-PBE | relaxed

- E_tot (eV for the cell shown) = -20.7

Lattice parameters (Å, degrees): 5.3445 5.3445 5.3445 60.00 60.00 60.00
Last column: nearest neighbours and their distance in Å.
Positions (direct):
Y1 0.7500 0.7500 0.7500  4 Mg 3.27, 4 Zr 3.27
Mg1 0.0000 0.0000 0.0000  4 Y 3.27, 4 Er 3.27
Zr1 0.5000 0.5000 0.5000  4 Er 3.27, 4 Y 3.27
Er1 0.2500 0.2500 0.2500  4 Mg 3.27, 4 Zr 3.27

***

ErMg2Zn9 | GGA-PBE | relaxed

- E_tot (eV for the cell shown) = -21.5

Lattice parameters (Å, degrees): 5.2733 5.2733 8.9078 72.78 72.78 60.00
Last column: nearest neighbours and their distance in Å.
Positions (direct):
Er1 0.0000 0.0000 0.0000  18 Zn 3.04-3.39
Mg1 0.8594 0.8594 0.4219  12 Zn 2.99-3.11, 3 Mg 3.31
Mg2 0.1406 0.1406 0.5781  12 Zn 2.99-3.11, 3 Mg 3.31
Zn1 0.6664 0.6664 0.0007  6 Zn 2.61-2.63
Zn2 0.3336 0.3336 0.9993  6 Zn 2.61-2.63
Zn3 0.5000 0.5000 0.5000  6 Zn 2.57
Zn4 0.4127 0.4127 0.2545  7 Zn 2.57-2.68
Zn5 0.9202 0.4127 0.2545  7 Zn 2.57-2.68
Zn6 0.4127 0.9202 0.2545  7 Zn 2.57-2.68
Zn7 0.5873 0.5873 0.7455  7 Zn 2.57-2.68
Zn8 0.5873 0.0798 0.7455  7 Zn 2.57-2.68
Zn9 0.0798 0.5873 0.7455  7 Zn 2.57-2.68

***

Er2MgZn6 | GGA-PBE | relaxed

- E_tot (eV for the cell shown) = -20.8

Lattice parameters (Å, degrees): 3.3190 7.7231 7.7231 120.00 90.00 90.00
Last column: nearest neighbours and their distance in Å.
Positions (direct):
Er1 0.0000 0.3333 0.6667  12 Zn 3.08, 2 Er 3.32
Er2 0.0000 0.6667 0.3333  12 Zn 3.08, 2 Er 3.32
Mg1 0.0000 0.0000 0.0000  12 Zn 3.04, 2 Mg 3.32
Zn1 0.5000 0.3291 0.3290  3 Zn 2.54-2.64
Zn2 0.5000 0.6709 0.6709  3 Zn 2.54-2.64
Zn3 0.5000 0.0000 0.6709  3 Zn 2.54-2.64
Zn4 0.5000 0.6709 0.0000  3 Zn 2.54-2.64
Zn5 0.5000 0.3291 0.0000  3 Zn 2.54-2.64
Zn6 0.5000 0.0000 0.3290  3 Zn 2.54-2.64

***

Er6Mg5Zn | GGA-PBE | relaxed

- E_tot (eV for the cell shown) = -37.9

Lattice parameters (Å, degrees): 5.2704 7.4308 8.3461 90.00 71.59 90.00
Last column: nearest neighbours and their distance in Å.
Positions (direct):
Mg1 0.6691 0.5000 0.6619  8 Er 3.25-3.31
Mg2 0.3273 0.0000 0.3454  8 Er 3.20-3.26
Mg3 0.0000 0.5000 0.0000  8 Er 3.18-3.27
Mg4 0.6727 0.0000 0.6546  8 Er 3.20-3.26
Mg5 0.3309 0.5000 0.3381  8 Er 3.25-3.31
Zn1 0.0000 0.0000 0.0000  8 Er 3.13-3.18
Er1 0.8392 0.7560 0.3217  1 Zn 3.13, 7 Mg 3.18-3.30
Er2 0.8392 0.2440 0.3217  1 Zn 3.13, 7 Mg 3.18-3.30
Er3 0.5000 0.2389 0.0000  2 Zn 3.18, 6 Mg 3.26-3.31, 1 Er 3.55
Er4 0.5000 0.7611 0.0000  2 Zn 3.18, 6 Mg 3.26-3.31, 1 Er 3.55
Er5 0.1608 0.7560 0.6783  1 Zn 3.13, 7 Mg 3.18-3.30
Er6 0.1608 0.2440 0.6783  1 Zn 3.13, 7 Mg 3.18-3.30

***

Er3MgZn4 | GGA-PBE | relaxed

- E_tot (eV for the cell shown) = -23.0

Lattice parameters (Å, degrees): 4.8972 4.8972 8.5898 73.44 73.44 60.00
Last column: nearest neighbours and their distance in Å.
Positions (direct):
Mg1 0.0000 0.0000 0.0000  8 Zn 3.00-3.07
Zn1 0.8740 0.8740 0.3780  7 Er 3.00-3.11, 1 Mg 3.07
Zn2 0.3748 0.3748 0.8756  5 Er 2.94-3.05, 3 Mg 3.00
Zn3 0.1260 0.1260 0.6220  7 Er 3.00-3.11, 1 Mg 3.07
Zn4 0.6252 0.6252 0.1244  5 Er 2.94-3.05, 3 Mg 3.00
Er1 0.2540 0.2540 0.2381  8 Zn 2.94-3.11
Er2 0.7460 0.7460 0.7619  8 Zn 2.94-3.11
Er3 0.5000 0.5000 0.5000  8 Zn 3.00-3.05

***

Er5Mg4Zn | GGA-PBE | relaxed

- E_tot (eV for the cell shown) = -31.6

Lattice parameters (Å, degrees): 3.6640 3.6640 19.1580 90.00 90.00 90.00
Last column: nearest neighbours and their distance in Å.
Positions (direct):
Er1 0.5000 0.5000 0.0879  4 Zn 3.09, 4 Mg 3.28, 1 Er 3.37
Er2 0.5000 0.5000 0.2950  8 Mg 3.25
Er3 0.5000 0.5000 0.5000  8 Mg 3.25
Er4 0.5000 0.5000 0.7050  8 Mg 3.25
Er5 0.5000 0.5000 0.9121  4 Zn 3.09, 4 Mg 3.28, 1 Er 3.37
Mg1 0.0000 0.0000 0.1928  8 Er 3.25-3.28
Mg2 0.0000 0.0000 0.3975  8 Er 3.25
Mg3 0.0000 0.0000 0.6025  8 Er 3.25
Mg4 0.0000 0.0000 0.8072  8 Er 3.25-3.28
Zn1 0.0000 0.0000 0.0000  8 Er 3.09